# CdSi2Hg

A relaxed CdSi2Hg crystal (PBE, the Alexandria database).

Calculated values
**Polymorph energy (0 for the lowest one)**: 310 meV per atom
**Energy relative to the elements, uncorrected**: 50.6 kJ/mol of atoms
**Uncorrected energy**: -2.49 eV/atom
**N(E_F)**: 0.383 states/eV/atom

Lattice parameters (Å, degrees): 4.012 4.012 10.070 90.00 90.00 90.00
Space group I4/mmm (No. 139)
Unique sites:
1 Cd 0.000 0.000 0.000 [2 per cell]
2 Si 0.000 0.500 0.250 [4 per cell]
3 Hg 0.000 0.000 0.500 [2 per cell]

---

# BeInTcC2

A relaxed BeInTcC2 crystal (PBE, the Alexandria database).

Calculated values
**Uncorrected energy**: -5.78 eV/atom
**N(E_F)**: 0.414 states/eV/atom
**ΔE_f**: 1.276 eV per atom

Lattice parameters (Å, degrees): 4.027 4.027 4.569 90.00 90.00 90.00
Space group P4/mmm (No. 123)
Unique sites:
1 Be 0.000 0.000 0.000 [1 per cell]
2 In 0.500 0.500 0.000 [1 per cell]
3 Tc 0.000 0.000 0.500 [1 per cell]
4 C 0.000 0.500 0.500 [2 per cell]

---

# NaLa2Os2

A relaxed NaLa2Os2 crystal (PBE, the Alexandria database).

Calculated values
**Polymorph energy (0 for the lowest one)**: 123 meV per atom
**Uncorrected energy**: -6.30 eV/atom
**N(E_F)**: 0.639 states/eV/atom
**ΔE_f**: 0.427 eV per atom

Lattice parameters (Å, degrees): 8.621 8.621 3.226 90.00 90.00 90.00
Space group P4/mbm (No. 127)
Unique sites:
1 Na 0.000 0.000 0.000 [2 per cell]
2 La 0.144 0.356 0.000 [4 per cell]
3 Os 0.156 0.656 0.500 [4 per cell]

---

# CeBe2

A relaxed CeBe2 crystal (PBE, the Alexandria database).

Calculated values
**Uncorrected energy**: -4.35 eV/atom
**N(E_F)**: 1.281 states/eV/atom
**ΔE_f**: 0.107 eV per atom

Lattice parameters (Å, degrees): 7.073 7.073 7.073 90.00 90.00 90.00
Space group Fd-3m (No. 227, origin choice 2)
Unique sites:
1 Ce 0.125 0.125 0.125 [8 per cell]
2 Be 0.000 0.000 0.500 [16 per cell]

---

Question: Which formula does entry 4 have?
Answer: CeBe2

---

Question: What is the N(E_F) in the second record?
Answer: 0.414 states/eV/atom